# SrFeNi

A crystal of SrFeNi relaxed with PBEsol (meta-GGA SCAN, the Alexandria database).

Unit cell a=4.4241 b=4.4241 c=4.4241 alpha=60.00 beta=60.00 gamma=60.00
With the nearest neighbours (Å) after each atom.
Fractional positions:
Sr1 0.5000 0.5000 0.5000  4 Fe 2.71
Ni1 0.0000 0.0000 0.0000  4 Fe 2.71
Fe1 0.2500 0.2500 0.2500  4 Ni 2.71, 4 Sr 2.71

Summary:
ΔE_f: 0.87 eV per atom
final energy: -17.99 eV per atom
calculated volume: 20.4 Å³/atom
magnetic moment: 3.39 μB per formula unit

=====

# Sr2FeNi

A crystal of Sr2FeNi relaxed with PBEsol (meta-GGA SCAN, the Alexandria database).

Unit cell a=5.1673 b=5.0925 c=5.1673 alpha=59.51 beta=90.00 gamma=120.49
With the nearest neighbours (Å) after each atom.
Fractional positions:
Ni1 0.0000 0.0000 0.0000  8 Sr 3.13
Sr1 0.2500 0.5000 0.2500  4 Fe 3.13, 4 Ni 3.13
Sr2 0.7500 0.5000 0.7500  4 Ni 3.13, 4 Fe 3.13
Fe1 0.5000 0.0000 0.5000  8 Sr 3.13

Summary:
ΔE_f: 0.56 eV per atom
final energy: -19.15 eV per atom
calculated volume: 23.7 Å³/atom
magnetic moment: 2.78 μB per formula unit

=====

# TaFeNi6

A crystal of TaFeNi6 relaxed with PBEsol (meta-GGA SCAN, the Alexandria database).

Unit cell a=6.1657 b=6.1657 c=10.0700 alpha=90.00 beta=90.00 gamma=109.50
With the nearest neighbours (Å) after each atom.
Fractional positions:
Ni1 0.7479 0.2521 0.7534  8 Ni 2.47-2.56, 2 Fe 2.48-2.50, 2 Ta 2.54-2.55
Ni2 0.1305 0.3778 0.6272  8 Ni 2.49-2.56, 1 Fe 2.51, 3 Ta 2.53-2.54
Ni3 0.8722 0.6197 0.8773  8 Ni 2.47-2.54, 3 Fe 2.48-2.50, 1 Ta 2.53
Ni4 0.3803 0.1278 0.1227  8 Ni 2.47-2.54, 3 Fe 2.48-2.50, 1 Ta 2.53
Ni5 0.8695 0.6222 0.3728  8 Ni 2.49-2.56, 1 Fe 2.51, 3 Ta 2.53-2.54
Ni6 0.2521 0.7479 0.2466  8 Ni 2.47-2.56, 2 Fe 2.48-2.50, 2 Ta 2.54-2.55
Ni7 0.5000 0.5000 0.0000  4 Fe 2.45-2.55, 8 Ni 2.49
Ni8 0.0000 0.0000 0.5000  4 Ta 2.48-2.57, 8 Ni 2.54
Ni9 0.3778 0.1305 0.3728  8 Ni 2.49-2.56, 1 Fe 2.51, 3 Ta 2.53-2.54
Ni10 0.2521 0.7479 0.7534  8 Ni 2.47-2.56, 2 Fe 2.48-2.50, 2 Ta 2.54-2.55
Ni11 0.7479 0.2521 0.2466  8 Ni 2.47-2.56, 2 Fe 2.48-2.50, 2 Ta 2.54-2.55
Ni12 0.3778 0.1305 0.6272  8 Ni 2.49-2.56, 1 Fe 2.51, 3 Ta 2.53-2.54
Ni13 0.6222 0.8695 0.6272  8 Ni 2.49-2.56, 1 Fe 2.51, 3 Ta 2.53-2.54
Ni14 0.6222 0.8695 0.3728  8 Ni 2.49-2.56, 1 Fe 2.51, 3 Ta 2.53-2.54
Ni15 0.1278 0.3803 0.1227  8 Ni 2.47-2.54, 3 Fe 2.48-2.50, 1 Ta 2.53
Ni16 0.6197 0.8722 0.8773  8 Ni 2.47-2.54, 3 Fe 2.48-2.50, 1 Ta 2.53
Ni17 0.0000 0.0000 0.0000  2 Ta 2.47, 2 Fe 2.48, 8 Ni 2.53
Ni18 0.1305 0.3778 0.3728  8 Ni 2.49-2.56, 1 Fe 2.51, 3 Ta 2.53-2.54
Ni19 0.8722 0.6197 0.1227  8 Ni 2.47-2.54, 3 Fe 2.48-2.50, 1 Ta 2.53
Ni20 0.8695 0.6222 0.6272  8 Ni 2.49-2.56, 1 Fe 2.51, 3 Ta 2.53-2.54
Ni21 0.1278 0.3803 0.8773  8 Ni 2.47-2.54, 3 Fe 2.48-2.50, 1 Ta 2.53
Ni22 0.5000 0.5000 0.5000  8 Ni 2.50, 2 Ta 2.56, 2 Fe 2.58
Ni23 0.3803 0.1278 0.8773  8 Ni 2.47-2.54, 3 Fe 2.48-2.50, 1 Ta 2.53
Ni24 0.6197 0.8722 0.1227  8 Ni 2.47-2.54, 3 Fe 2.48-2.50, 1 Ta 2.53
Ta1 0.0000 0.0000 0.7548  12 Ni 2.47-2.57
Ta2 0.2462 0.7538 0.5000  12 Ni 2.48-2.56
Ta3 0.7538 0.2462 0.5000  12 Ni 2.48-2.56
Ta4 0.0000 0.0000 0.2452  12 Ni 2.47-2.57
Fe1 0.2464 0.7536 0.0000  12 Ni 2.48-2.55
Fe2 0.5000 0.5000 0.2435  12 Ni 2.45-2.58
Fe3 0.7536 0.2464 0.0000  12 Ni 2.48-2.55
Fe4 0.5000 0.5000 0.7565  12 Ni 2.45-2.58

Summary:
ΔE_f: -0.21 eV per atom
final energy: -22.93 eV per atom
calculated volume: 11.3 Å³/atom
magnetic moment: 4.88 μB per formula unit

=====

# TaFeNi

A crystal of TaFeNi relaxed with PBEsol (meta-GGA SCAN, the Alexandria database).

Unit cell a=3.1067 b=3.1053 c=4.5699 alpha=109.86 beta=109.87 gamma=90.00
With the nearest neighbours (Å) after each atom.
Fractional positions:
Fe1 0.9999 0.9999 0.9998  5 Ni 2.56-2.69, 5 Ta 2.56-2.69
Ni1 0.3361 0.3361 0.6722  5 Fe 2.56-2.69, 5 Ta 2.59-2.63
Ta1 0.6640 0.6640 0.3280  5 Fe 2.56-2.69, 5 Ni 2.59-2.63

Summary:
ΔE_f: -0.10 eV per atom
final energy: -33.73 eV per atom
calculated volume: 12.9 Å³/atom
magnetic moment: 1.77 μB per formula unit

=====

# FeTcNi6

A crystal of FeTcNi6 relaxed with PBEsol (meta-GGA SCAN, the Alexandria database).

Unit cell a=6.1084 b=6.1084 c=9.9716 alpha=90.00 beta=90.00 gamma=109.47
With the nearest neighbours (Å) after each atom.
Fractional positions:
Ni1 0.7495 0.2505 0.2484  8 Ni 2.48-2.51, 2 Fe 2.48-2.49, 2 Tc 2.50-2.51
Ni2 0.3777 0.1269 0.8765  8 Ni 2.46-2.50, 3 Fe 2.48-2.49, 1 Tc 2.50
Ni3 0.1269 0.3777 0.1235  8 Ni 2.46-2.50, 3 Fe 2.48-2.49, 1 Tc 2.50
Ni4 0.8731 0.6223 0.1235  8 Ni 2.46-2.50, 3 Fe 2.48-2.49, 1 Tc 2.50
Ni5 0.6223 0.8731 0.1235  8 Ni 2.46-2.50, 3 Fe 2.48-2.49, 1 Tc 2.50
Ni6 0.3769 0.1274 0.6268  8 Ni 2.48-2.53, 1 Fe 2.49, 3 Tc 2.50-2.51
Ni7 0.6231 0.8726 0.6268  8 Ni 2.48-2.53, 1 Fe 2.49, 3 Tc 2.50-2.51
Ni8 0.8726 0.6231 0.3732  8 Ni 2.48-2.53, 1 Fe 2.49, 3 Tc 2.50-2.51
Ni9 0.8726 0.6231 0.6268  8 Ni 2.48-2.53, 1 Fe 2.49, 3 Tc 2.50-2.51
Ni10 0.6223 0.8731 0.8765  8 Ni 2.46-2.50, 3 Fe 2.48-2.49, 1 Tc 2.50
Ni11 0.6231 0.8726 0.3732  8 Ni 2.48-2.53, 1 Fe 2.49, 3 Tc 2.50-2.51
Ni12 0.1269 0.3777 0.8765  8 Ni 2.46-2.50, 3 Fe 2.48-2.49, 1 Tc 2.50
Ni13 0.2505 0.7495 0.2484  8 Ni 2.48-2.51, 2 Fe 2.48-2.49, 2 Tc 2.50-2.51
Ni14 0.3769 0.1274 0.3732  8 Ni 2.48-2.53, 1 Fe 2.49, 3 Tc 2.50-2.51
Ni15 0.0000 0.0000 0.0000  2 Tc 2.47, 2 Fe 2.48, 8 Ni 2.50
Ni16 0.1274 0.3769 0.3732  8 Ni 2.48-2.53, 1 Fe 2.49, 3 Tc 2.50-2.51
Ni17 0.2505 0.7495 0.7516  8 Ni 2.48-2.51, 2 Fe 2.48-2.49, 2 Tc 2.50-2.51
Ni18 0.5000 0.5000 0.0000  4 Fe 2.46-2.51, 8 Ni 2.48
Ni19 0.0000 0.0000 0.5000  4 Tc 2.48-2.52, 8 Ni 2.51
Ni20 0.7495 0.2505 0.7516  8 Ni 2.48-2.51, 2 Fe 2.48-2.49, 2 Tc 2.50-2.51
Ni21 0.1274 0.3769 0.6268  8 Ni 2.48-2.53, 1 Fe 2.49, 3 Tc 2.50-2.51
Ni22 0.3777 0.1269 0.1235  8 Ni 2.46-2.50, 3 Fe 2.48-2.49, 1 Tc 2.50
Ni23 0.8731 0.6223 0.8765  8 Ni 2.46-2.50, 3 Fe 2.48-2.49, 1 Tc 2.50
Ni24 0.5000 0.5000 0.5000  8 Ni 2.49, 2 Tc 2.51, 2 Fe 2.52
Tc1 0.0000 0.0000 0.2476  12 Ni 2.47-2.52
Tc2 0.7513 0.2487 0.5000  12 Ni 2.48-2.51
Tc3 0.0000 0.0000 0.7524  12 Ni 2.47-2.52
Tc4 0.2487 0.7513 0.5000  12 Ni 2.48-2.51
Fe1 0.5000 0.5000 0.2470  12 Ni 2.46-2.52
Fe2 0.7514 0.2486 0.0000  12 Ni 2.48-2.51
Fe3 0.2486 0.7514 0.0000  12 Ni 2.48-2.51
Fe4 0.5000 0.5000 0.7530  12 Ni 2.46-2.52

Summary:
ΔE_f: -0.01 eV per atom
final energy: -18.79 eV per atom
calculated volume: 11.0 Å³/atom
magnetic moment: 9.10 μB per formula unit

=====

# TiFe2NiTe

A crystal of TiFe2NiTe relaxed with PBEsol (meta-GGA SCAN, the Alexandria database).

Unit cell a=4.3517 b=4.3517 c=4.4299 alpha=90.00 beta=90.00 gamma=90.00
With the nearest neighbours (Å) after each atom.
Fractional positions:
Ni1 0.0000 0.0000 0.0000  4 Fe 2.18, 2 Ti 2.21
Ti1 0.0000 0.0000 0.5000  2 Ni 2.21
Fe1 0.5000 0.0000 0.0000  2 Ni 2.18
Fe2 0.0000 0.5000 0.0000  2 Ni 2.18
Te1 0.5000 0.5000 0.5000  4 Ti 3.08, 8 Fe 3.10

Summary:
final energy: -20.75 eV per atom
calculated volume: 16.8 Å³/atom
energy relative to the elements, uncorrected: 0.395 eV/atom
magnetic moment: 5.67 μB per formula unit